VASP calculation (PBE+U) on crystalline Nd2Mo2O7 at its relaxed geometry.

Computed properties:
- Excess energy over the best structure of this formula in the dataset: 0.0 meV/atom
- Uncorrected energy: -173.15 eV for the cell shown

Unit cell a=7.5188 b=7.5188 c=7.5188 alpha=119.94 beta=119.94 gamma=90.11
Closest atoms and distances in Å follow each position.
Fractional positions:
1 O 0.9506 0.4538 0.9179  2 Mo 2.05-2.12
2 O 0.7826 0.2006 0.9968  2 Mo 2.05-2.12
3 O 0.5359 0.0326 0.0821  2 Mo 2.05-2.12
4 O 0.2079 0.2079 0.0000  2 Mo 2.08
5 O 0.7994 0.7962 0.5821  2 Mo 2.05-2.12
6 O 0.5462 0.4641 0.4968  2 Mo 2.05-2.12
7 O 0.2500 0.7500 0.5000  4 Nd 2.30
8 O 0.2038 0.7859 0.0032  2 Mo 2.05-2.12
9 O 0.5421 0.0421 0.5000  2 Mo 2.08
10 O 0.9579 0.4579 0.5000  2 Mo 2.08
11 O 0.7921 0.7921 0.0000  2 Mo 2.08
12 O 0.2141 0.2174 0.4179  2 Mo 2.05-2.12
13 O 0.5000 0.5000 0.0000  4 Nd 2.30
14 O 0.9674 0.0494 0.5032  2 Mo 2.05-2.12
15 Nd 0.8750 0.6250 0.2500  4 O 2.30-2.53
16 Nd 0.3750 0.1250 0.7500  4 O 2.30-2.53
17 Nd 0.3750 0.6250 0.7500  4 O 2.30-2.53
18 Nd 0.3750 0.6250 0.2500  4 O 2.30-2.53
19 Mo 0.8750 0.6250 0.7500  6 O 2.05-2.12
20 Mo 0.8750 0.1250 0.2500  6 O 2.05-2.12
21 Mo 0.8750 0.1250 0.7500  6 O 2.05-2.12
22 Mo 0.3750 0.1250 0.2500  6 O 2.05-2.12